(1)
{
  "formula": "DyGaCuAg",
  "functional": "PBE",
  "state": "optimized geometry",
  "ef_mev_per_atom": -296,
  "n_ef_per_ev_fu": 2.7,
  "lattice_angstrom": [[-3.9911, 0.5230, -2.4429], [-3.1830, -3.4688, -0.0801], [-4.0965, 0.5110, 2.2645]],
  "species": ["Cu", "Ga", "Ag", "Dy"],
  "fractional_positions": [[0.2500, 0.2500, 0.2500], [0.5000, 0.5000, 0.5000], [0.7500, 0.7500, 0.7500], [0.0000, 0.0000, 0.0000]]
}

***

(2)
{
  "formula": "BaZn3Au2",
  "functional": "PBE",
  "state": "optimized geometry",
  "ef_mev_per_atom": -401,
  "n_ef_per_ev_fu": 2.2,
  "lattice_angstrom": [[4.4059, 0.0000, 0.0000], [-2.2029, 8.4174, 0.1855], [0.0000, -3.6175, 7.2258]],
  "species": ["Ba", "Ba", "Zn", "Zn", "Zn", "Zn", "Zn", "Zn", "Au", "Au", "Au", "Au"],
  "fractional_positions": [[0.8513, 0.7026, 0.9315], [0.1487, 0.2974, 0.0685], [0.3133, 0.6266, 0.5454], [0.9730, 0.9461, 0.6288], [0.5918, 0.1836, 0.6529], [0.4082, 0.8164, 0.3471], [0.0270, 0.0539, 0.3712], [0.6867, 0.3734, 0.4546], [0.4806, 0.9613, 0.8108], [0.5194, 0.0387, 0.1892], [0.8141, 0.6281, 0.3440], [0.1859, 0.3719, 0.6560]]
}

***

(3)
{
  "formula": "BaNb2Sn",
  "functional": "PBE",
  "state": "optimized geometry",
  "ef_mev_per_atom": 1018,
  "n_ef_per_ev_fu": 5.6,
  "lattice_angstrom": [[8.4426, 0.0000, 0.0000], [0.0000, 8.4426, 0.0000], [4.2213, 4.2213, 3.0757]],
  "species": ["Nb", "Nb", "Nb", "Nb", "Ba", "Ba", "Sn", "Sn"],
  "fractional_positions": [[0.5780, 0.1250, 0.2500], [0.1720, 0.6250, 0.2500], [0.3750, 0.4220, 0.7500], [0.8750, 0.8280, 0.7500], [0.0000, 0.0000, 0.0000], [0.7500, 0.2500, 0.5000], [0.5000, 0.5000, 0.0000], [0.2500, 0.7500, 0.5000]]
}